The following is a PBE calculation of YAgHgAs2 after structural relaxation, from the Alexandria database.

a b c (Å): 5.2179 5.2179 4.9887
angles (deg): 90.00 90.00 90.00
Sites, in units of the cell vectors:
1 Y 0.0000 0.0000 0.0000
2 Ag 0.5000 0.5000 0.0000
3 Hg 0.5000 0.5000 0.5000
4 As 0.0000 0.5000 0.5000
5 As 0.5000 0.0000 0.5000

Calculated values
Its formation energy is 1.8 eV per formula unit. The space group is P4/mmm. For the magnetic moment, the calculation gives 0.0 μB per cell. For the polymorph energy (0 for the lowest one), the calculation gives 0.156 eV/atom.



The following is a PBE calculation of La5Sm4Tm2 after structural relaxation, from the Alexandria database.

a b c (Å): 12.8388 12.8388 12.8388
angles (deg): 164.11 136.61 46.48
Sites, in units of the cell vectors:
1 La 0.0000 0.0000 0.0000
2 La 0.0564 0.3488 0.7075
3 La 0.3587 0.6512 0.7075
4 La 0.6413 0.3488 0.2925
5 La 0.9436 0.6512 0.2925
6 Sm 0.3047 0.5000 0.8047
7 Sm 0.4036 0.9036 0.5000
8 Sm 0.5964 0.0964 0.5000
9 Sm 0.6953 0.5000 0.1953
10 Tm 0.2697 0.7697 0.5000
11 Tm 0.7303 0.2303 0.5000

Calculated values
Its formation energy is 2.2 eV per formula unit. The space group is Immm. For the magnetic moment, the calculation gives 0.0 μB per cell. For the polymorph energy (0 for the lowest one), the calculation gives 0.126 eV/atom.



The highest polymorph energy (0 for the lowest one) belongs to which entry?
YAgHgAs2



What is the polymorph energy (0 for the lowest one) in the first record?
0.156 eV/atom